No. 1
The following is a GGA-PBE calculation of MgSO3 after structural relaxation, from Alexandria via LeMat-Bulk.

Values from the calculation:
The space-group type is No. 14. Its uncorrected formation energy is -1.867 eV per atom. As for the crystal system: monoclinic.

Cell: 12.6895 5.2711 8.4339 Å, 78.49 90.00 90.00°
Sites, in units of the cell vectors:
Mg 0.4049 0.3762 0.9092
Mg 0.7517 0.0585 0.7958
Mg 0.2517 0.9415 0.7042
Mg 0.9049 0.6238 0.5908
Mg 0.0951 0.3762 0.4092
Mg 0.7483 0.0585 0.2958
Mg 0.2483 0.9415 0.2042
Mg 0.5951 0.6238 0.0908
S 0.1828 0.5380 0.0371
S 0.5057 0.9386 0.7480
S 0.0057 0.0614 0.7520
S 0.6828 0.4620 0.4629
S 0.3172 0.5380 0.5371
S 0.9943 0.9386 0.2480
S 0.4943 0.0614 0.2520
S 0.8172 0.4620 0.9629
O 0.2683 0.3184 0.0483
O 0.2389 0.7935 0.9611
O 0.5028 0.6916 0.8857
O 0.8229 0.4185 0.7857
O 0.9017 0.9136 0.7252
O 0.5912 0.1018 0.8052
O 0.0912 0.8982 0.6948
O 0.4017 0.0864 0.7748
O 0.3229 0.5815 0.7143
O 0.0028 0.3084 0.6143
O 0.7389 0.2065 0.5389
O 0.7683 0.6816 0.4517
O 0.2317 0.3184 0.5483
O 0.2611 0.7935 0.4611
O 0.9972 0.6916 0.3857
O 0.6771 0.4185 0.2857
O 0.5983 0.9136 0.2252
O 0.9088 0.1018 0.3052
O 0.4088 0.8982 0.1948
O 0.0983 0.0864 0.2748
O 0.1771 0.5815 0.2143
O 0.4972 0.3084 0.1143
O 0.7611 0.2065 0.0389
O 0.7317 0.6816 0.9517

No. 2
The following is a GGA-PBE calculation of MgSi2SO after structural relaxation, from Alexandria via LeMat-Bulk.

Values from the calculation:
The space-group type is No. 123. Its uncorrected formation energy is 1.210 eV per atom. As for the crystal system: tetragonal.

Cell: 5.0291 4.4106 5.0291 Å, 90.00 90.00 90.00°
Sites, in units of the cell vectors:
Mg 0.0000 0.0000 0.0000
S 0.0000 0.5000 0.0000
Si 0.0000 0.0000 0.5000
Si 0.5000 0.0000 0.0000
O 0.5000 0.5000 0.5000

No. 3
The following is a GGA-PBE calculation of SmMgS2O8 after structural relaxation, from Alexandria via LeMat-Bulk.

Values from the calculation:
The space-group type is No. 164. Its uncorrected formation energy is -1.839 eV per atom. As for the crystal system: trigonal.

Cell: 5.2150 5.2150 6.7528 Å, 90.00 90.00 120.00°
Site moments in Bohr magnetons follow the coordinates.
Sites, in units of the cell vectors:
Sm 0.0000 0.0000 0.5000  0.26
Mg 0.0000 0.0000 0.0000  0.00
S 0.3333 0.6667 0.7291  0.00
S 0.6667 0.3333 0.2709  0.00
O 0.1747 0.3495 0.7979  0.00
O 0.1747 0.8253 0.7979  0.00
O 0.6505 0.8253 0.7979  0.00
O 0.3495 0.1747 0.2021  0.00
O 0.6667 0.3333 0.4908  0.00
O 0.3333 0.6667 0.5092  0.00
O 0.8253 0.6505 0.2021  0.00
O 0.8253 0.1747 0.2021  0.00

No. 4
The following is a GGA-PBE calculation of SrMgS2O8 after structural relaxation, from Alexandria via LeMat-Bulk.

Values from the calculation:
The space-group type is No. 148. Its uncorrected formation energy is -2.059 eV per atom. As for the crystal system: trigonal.

Cell: 4.8473 4.8473 7.7812 Å, 71.85 71.85 60.00°
Sites, in units of the cell vectors:
Sr 0.5000 0.5000 0.5000
Mg 0.0000 0.0000 0.0000
S 0.2541 0.2541 0.2377
S 0.7459 0.7459 0.7623
O 0.1853 0.1853 0.4441
O 0.5739 0.2606 0.1755
O 0.8147 0.8147 0.5559
O 0.9900 0.5739 0.1755
O 0.0100 0.4261 0.8245
O 0.2606 0.9900 0.1755
O 0.7394 0.0100 0.8245
O 0.4261 0.7394 0.8245

Number 1: total magnetization 0.00 Bohr magnetons per cell, density of states at the Fermi level 0.0 states/eV/f.u.. Number 2: total magnetization 0.00 Bohr magnetons per cell, density of states at the Fermi level 3.9 states/eV/f.u.. Number 3: total magnetization 0.41 Bohr magnetons per cell, density of states at the Fermi level 2.9 states/eV/f.u.. Number 4: total magnetization 0.00 Bohr magnetons per cell, density of states at the Fermi level 0.0 states/eV/f.u..